Entry 1:
Entry from Alexandria: an optimized crystal structure of Sr3Hg2Pd4 (GGA-PBE).

The structure in extended XYZ format:
```
9
Lattice="4.599 0.000 0.000 -2.299 5.815 -0.357 0.000 -2.845 8.713" Properties=species:S:1:pos:R:3 pbc="T T T"
Pd 0.000 0.539 8.002
Pd 0.000 -0.254 3.670
Pd 2.299 2.432 0.354
Pd 2.299 3.224 4.685
Sr 0.000 3.381 2.394
Sr 0.000 0.000 0.000
Sr 2.299 -0.410 5.961
Hg 0.000 2.018 5.675
Hg 2.299 0.952 2.680
```

magnetization = 0.00 Bohr magnetons per cell
space group = No. 12
energy relative to the elements = -0.56 eV per atom
energy relative to the lowest polymorph listed for this composition = 11 meV/atom

***

Entry 2:
Entry from Alexandria: an optimized crystal structure of Sr2HgPd (GGA-PBE).

The structure in extended XYZ format:
```
8
Lattice="4.661 0.000 0.000 0.000 6.377 -0.017 0.000 -3.204 8.357" Properties=species:S:1:pos:R:3 pbc="T T T"
Sr 1.165 3.079 4.810
Sr 1.165 4.821 0.520
Sr 3.496 0.094 3.530
Sr 3.496 -1.649 7.821
Hg 3.496 3.230 2.368
Hg 1.165 -0.057 5.973
Pd 3.496 1.561 6.559
Pd 1.165 1.611 1.781
```

magnetization = 0.00 Bohr magnetons per cell
space group = No. 11
energy relative to the elements = -0.57 eV per atom

***

Entry 3:
Entry from Alexandria: an optimized crystal structure of SrHg2Pd2 (GGA-PBE).

The structure in extended XYZ format:
```
10
Lattice="8.097 0.000 0.000 0.000 8.097 0.000 0.000 0.000 3.326" Properties=species:S:1:pos:R:3 pbc="T T T"
Hg 3.034 7.083 0.000
Hg 5.063 1.014 0.000
Hg 1.014 3.034 0.000
Hg 7.083 5.063 0.000
Pd 5.465 6.680 1.663
Pd 6.680 2.632 1.663
Pd 1.417 5.465 1.663
Pd 2.632 1.417 1.663
Sr 0.000 0.000 0.000
Sr 4.048 4.048 0.000
```

magnetization = 0.00 Bohr magnetons per cell
space group = No. 127
energy relative to the elements = -0.31 eV per atom
energy relative to the lowest polymorph listed for this composition = 115 meV/atom

***

Entry 4:
Entry from Alexandria: an optimized crystal structure of Sr4Hg2Pd (GGA-PBE).

The structure in extended XYZ format:
```
7
Lattice="5.820 0.000 0.000 0.000 5.820 0.000 2.910 2.910 8.260" Properties=species:S:1:pos:R:3 pbc="T T T"
Sr 0.000 2.910 0.000
Sr 5.820 5.820 3.066
Sr 2.910 0.000 0.000
Sr 2.910 2.910 5.195
Hg 5.820 5.820 6.381
Hg 2.910 2.910 1.880
Pd 0.000 0.000 0.000
```

magnetization = 0.00 Bohr magnetons per cell
space group = No. 139
energy relative to the elements = -0.37 eV per atom
energy relative to the lowest polymorph listed for this composition = 89 meV/atom

***

Entry 5:
Entry from Alexandria: an optimized crystal structure of Sr2Hg5Pd5 (GGA-PBE).

The structure in extended XYZ format:
```
12
Lattice="-2.130 -3.335 2.238 5.090 -1.403 2.754 -2.225 6.350 7.347" Properties=species:S:1:pos:R:3 pbc="T T T"
Hg 0.367 0.806 6.169
Hg 1.063 2.113 8.779
Hg -0.328 -0.501 3.559
Hg 2.226 -1.205 4.941
Hg -1.491 2.817 7.397
Pd -1.065 -1.668 1.119
Pd 1.805 1.412 3.822
Pd 1.060 3.536 6.279
Pd -1.862 5.316 6.150
Pd -0.362 1.034 1.196
Sr 2.545 -0.701 1.377
Sr -1.112 3.175 3.673
```

magnetization = 0.00 Bohr magnetons per cell
space group = No. 47
energy relative to the elements = -0.41 eV per atom

***

Entry 6:
Entry from Alexandria: an optimized crystal structure of Sr3Hg4Pd8 (GGA-PBE).

The structure in extended XYZ format:
```
30
Lattice="-5.659 -7.765 0.753 -3.007 -2.949 8.669 -9.256 1.006 2.489" Properties=species:S:1:pos:R:3 pbc="T T T"
Hg 0.000 0.000 0.000
Hg -4.333 -5.357 4.711
Hg -4.628 0.503 1.245
Hg -2.829 -3.882 0.377
Hg -8.961 -4.853 5.955
Hg -6.131 -0.971 5.579
Hg -1.503 -1.474 4.334
Hg -7.457 -3.379 1.621
Pd -4.922 -2.270 1.270
Pd -14.180 -7.018 6.079
Pd -12.999 -7.437 10.641
Pd -13.794 -8.882 8.266
Pd -12.850 -4.603 10.049
Pd -3.741 -2.688 5.832
Pd -3.047 -3.457 3.124
Pd -15.688 -8.497 10.427
Pd -12.097 -6.552 8.040
Pd -6.875 -0.705 2.733
Pd -5.825 -3.155 3.871
Pd -4.127 -0.825 3.645
Pd -5.071 -5.104 1.862
Pd -2.233 -1.210 1.484
Pd -11.046 -9.002 9.178
Pd -14.874 -6.250 8.787
Sr -6.190 -3.967 7.218
Sr -8.823 -7.580 7.569
Sr -10.497 -3.499 8.376
Sr -11.731 -5.740 4.693
Sr -9.098 -2.127 4.342
Sr -7.424 -6.208 3.535
```

magnetization = 0.00 Bohr magnetons per cell
space group = No. 225
energy relative to the elements = -0.45 eV per atom

***

Entry 7:
Entry from Alexandria: an optimized crystal structure of Sr2HgPd2 (GGA-PBE).

The structure in extended XYZ format:
```
5
Lattice="-2.677 -1.812 -2.283 2.897 -2.001 -1.809 -0.616 -8.346 3.916" Properties=species:S:1:pos:R:3 pbc="T T T"
Sr -0.336 -8.740 0.470
Sr -0.061 -3.419 -0.646
Pd 1.195 -6.127 0.031
Pd -1.592 -6.032 -0.207
Hg 0.000 0.000 0.000
```

magnetization = 0.00 Bohr magnetons per cell
space group = No. 139
energy relative to the elements = -0.40 eV per atom

***

Entry 8:
Entry from Alexandria: an optimized crystal structure of Sr5HgPd2 (GGA-PBE).

The structure in extended XYZ format:
```
16
Lattice="-4.199 -2.569 6.730 5.695 -5.954 1.281 3.368 9.153 0.430" Properties=species:S:1:pos:R:3 pbc="T T T"
Sr 4.192 1.158 4.789
Sr 3.051 -5.347 6.759
Sr 0.673 -0.528 3.652
Sr 0.000 0.000 0.000
Sr -0.488 -2.794 7.228
Sr 0.652 3.712 5.257
Sr 4.212 -3.082 3.183
Sr 5.353 3.424 1.212
Sr 0.748 -4.261 4.005
Sr 1.813 5.977 1.681
Pd 1.617 -2.556 1.318
Pd -0.121 -5.967 6.693
Pd -1.913 -2.344 4.361
Pd 3.410 -6.179 3.650
Hg 2.058 2.446 2.218
Hg 2.806 -1.816 6.223
```

magnetization = 0.00 Bohr magnetons per cell
space group = No. 140
energy relative to the elements = -0.51 eV per atom

***

Entry 9:
Entry from Alexandria: an optimized crystal structure of SrHg4Pd (GGA-PBE).

The structure in extended XYZ format:
```
12
Lattice="4.527 0.000 -1.174 0.000 7.653 0.000 -0.119 0.000 8.853" Properties=species:S:1:pos:R:3 pbc="T T T"
Pd 0.980 5.740 3.780
Pd 3.427 1.913 3.899
Hg 0.272 5.740 1.048
Hg 2.263 0.000 -0.587
Hg 1.373 3.428 5.291
Hg 3.035 4.225 2.387
Hg 3.035 7.255 2.387
Hg 4.136 1.913 6.630
Hg 2.263 3.827 -0.587
Hg 1.373 0.399 5.291
Sr 3.843 5.740 5.502
Sr 0.564 1.913 2.176
```

magnetization = 0.00 Bohr magnetons per cell
space group = No. 63
energy relative to the elements = -0.35 eV per atom
energy relative to the lowest polymorph listed for this composition = 0 meV/atom

***

Entry 10:
Entry from Alexandria: an optimized crystal structure of SrHg2Pd2 (GGA-PBE).

The structure in extended XYZ format:
```
10
Lattice="-1.615 -4.462 -3.400 4.869 0.263 3.208 -6.000 -1.562 7.006" Properties=species:S:1:pos:R:3 pbc="T T T"
Pd -0.789 -3.395 6.406
Pd 0.596 -3.791 1.257
Pd -1.958 -2.366 0.408
Pd -3.342 -1.970 5.558
Hg -3.457 -1.931 2.719
Hg 0.711 -3.830 4.096
Hg -5.546 -3.699 6.033
Hg 2.800 -2.062 0.781
Sr 0.125 -0.849 2.531
Sr -2.872 -4.912 4.283
```

magnetization = 0.00 Bohr magnetons per cell
space group = No. 15
energy relative to the elements = -0.36 eV per atom
energy relative to the lowest polymorph listed for this composition = 63 meV/atom

***

Entry 11:
Entry from Alexandria: an optimized crystal structure of Sr2Hg9Pd3 (GGA-PBE).

The structure in extended XYZ format:
```
28
Lattice="-7.196 3.318 -3.117 0.276 -3.203 7.885 7.437 8.450 3.182" Properties=species:S:1:pos:R:3 pbc="T T T"
Hg -0.814 8.843 0.734
Hg -2.088 3.725 -0.302
Hg 2.370 3.528 2.097
Hg 2.605 4.840 8.253
Hg 0.193 2.650 6.354
Hg -3.294 1.340 1.351
Hg 1.330 -0.277 7.216
Hg -0.424 2.203 2.149
Hg 2.862 3.926 5.301
Hg 3.811 7.225 6.599
Hg 1.315 9.432 2.939
Hg 6.323 5.236 10.320
Hg 0.324 5.915 1.597
Hg 0.941 6.363 5.801
Hg -1.853 5.038 5.854
Hg -5.806 3.329 -2.370
Hg -0.799 -0.866 5.011
Hg -2.345 4.640 2.650
Pd -3.598 1.659 -1.558
Pd 2.854 2.083 7.627
Pd -5.760 0.653 2.566
Pd 0.258 4.283 3.975
Pd 6.277 7.913 5.384
Pd -2.338 6.482 0.323
Sr 3.232 6.678 3.322
Sr 1.983 0.813 4.066
Sr -1.467 7.753 3.884
Sr -2.715 1.888 4.629
```

magnetization = 0.00 Bohr magnetons per cell
space group = No. 15
energy relative to the elements = -0.32 eV per atom

***

Entry 12:
Entry from Alexandria: an optimized crystal structure of Sr3Hg4Pd2 (GGA-PBE).

The structure in extended XYZ format:
```
9
Lattice="-1.780 -1.291 3.970 3.626 -4.767 -2.518 5.435 6.822 4.655" Properties=species:S:1:pos:R:3 pbc="T T T"
Sr 3.753 -0.881 1.396
Sr 3.529 1.646 4.711
Sr 0.000 0.000 0.000
Pd 6.141 0.764 3.002
Pd 1.140 0.000 3.105
Hg 2.029 2.202 1.625
Hg 6.344 3.386 3.945
Hg 0.937 -2.621 2.162
Hg 5.253 -1.437 4.482
```

magnetization = 0.00 Bohr magnetons per cell
space group = No. 12
energy relative to the elements = -0.54 eV per atom